(1)
# Ac4IrOsBr2

An optimized crystal structure of Ac4IrOsBr2 (PBE, Alexandria via LeMat-Bulk).

Cell and atoms, written as POSCAR:
```
Ac4IrOsBr2
1.0
4.3562 0.0000 0.0000
0.0000 7.5334 0.1256
0.0000 -2.6554 8.1717
Ac Ir Os Br
4 1 1 2
Direct
0.5000 0.2349 0.1932
0.5000 0.7651 0.8068
0.0000 0.2721 0.8059
0.0000 0.7279 0.1941
0.0000 0.0000 0.0000
0.5000 0.5000 0.0000
0.5000 0.0000 0.5000
0.0000 0.5000 0.5000
```

Values from the calculation:
- electronic total energy (eV/cell) = -47.51

(2)
# Ac8IrOs3Br4

An optimized crystal structure of Ac8IrOs3Br4 (PBE, Alexandria via LeMat-Bulk).

Cell and atoms, written as POSCAR:
```
Ac8IrOs3Br4
1.0
8.7112 0.0000 0.0000
0.0000 9.5832 0.6088
-4.3556 -4.3556 6.1601
Ac Ir Os Br
8 1 3 4
Direct
0.2332 0.6939 0.9610
0.2332 0.6938 0.4665
0.2684 0.3056 0.5368
0.7277 0.6939 0.9610
0.2723 0.3061 0.0390
0.7316 0.6944 0.4632
0.7668 0.3062 0.5335
0.7668 0.3061 0.0390
0.0000 0.5000 0.0000
0.5000 0.5000 0.0000
0.5000 0.5000 0.5000
0.0000 0.5000 0.5000
0.5000 0.0000 0.0000
0.5000 0.0000 0.5000
0.0000 0.0000 0.0000
0.0000 0.0000 0.5000
```

Values from the calculation:
- electronic total energy (eV/cell) = -95.26

Magnetization values, unit μB/f.u., following the record order: 0.00 0.00.
E_form (uncorrected) values, unit eV per atom, following the record order: -0.956 -0.822.